(1)
The following is a DFT calculation (PBE) of Li2CuSeI after structural relaxation.

Computed properties:
ρ in g cm⁻³: 4.00
Raw formation energy in meV/atom: -734

Cell: 5.073 5.073 4.565 Å, 90.00 90.00 90.00°
Space group P4/mmm (No. 123)
One atom of each set of equivalent atoms:
Li: 0.000 0.500 0.000 [2 per cell]
Cu: 0.000 0.000 0.500 [1 per cell]
Se: 0.000 0.000 0.000 [1 per cell]
I: 0.500 0.500 0.500 [1 per cell]

(2)
The following is a DFT calculation (PBE) of Li2TaCuI after structural relaxation.

Computed properties:
ρ in g cm⁻³: 5.24
Raw formation energy in meV/atom: 1134

Cell: 4.871 4.871 5.145 Å, 90.00 90.00 90.00°
Space group P4/mmm (No. 123)
One atom of each set of equivalent atoms:
Li: 0.000 0.500 0.000 [2 per cell]
Ta: 0.000 0.000 0.500 [1 per cell]
Cu: 0.500 0.500 0.500 [1 per cell]
I: 0.500 0.500 0.000 [1 per cell]

(3)
The following is a DFT calculation (PBE) of LiCuTe2I after structural relaxation.

Computed properties:
Energy above the lowest structure with this stoichiometry in meV/atom: 468
ρ in g cm⁻³: 5.29
Raw formation energy in meV/atom: 467

Cell: 5.069 5.069 5.532 Å, 90.00 90.00 90.00°
Space group P4/mmm (No. 123)
One atom of each set of equivalent atoms:
Li: 0.000 0.000 0.000 [1 per cell]
Cu: 0.500 0.500 0.500 [1 per cell]
Te: 0.000 0.500 0.000 [2 per cell]
I: 0.000 0.000 0.500 [1 per cell]

The lowest ρ belongs to which entry? Li2CuSeI

The highest raw formation energy belongs to which entry? Li2TaCuI